Record 1
Computed, not measured: PbWAu2 after structural relaxation at the PBE level of DFT.

Cell and atoms, written as POSCAR:
```
PbWAu2
1.0
10.885 0.000 0.000
0.000 2.988 0.000
-2.381 0.000 4.828
Pb W Au
2 2 4
direct
0.000 0.000 0.000 Pb
0.500 0.500 0.000 Pb
0.253 0.000 0.936 W
0.753 0.500 0.936 W
0.041 0.500 0.527 Au
0.282 0.500 0.413 Au
0.541 0.000 0.527 Au
0.782 0.000 0.413 Au
```

Results
Formation energy (kJ/mol of formula units): 199
DOS at the Fermi energy (states/eV per atom): 0.45
Uncorrected energy (eV/atom): -5.29



Record 2
Computed, not measured: Pb3WAu after structural relaxation at the PBE level of DFT.

Cell and atoms, written as POSCAR:
```
Pb3WAu
1.0
5.479 0.000 0.000
0.000 5.479 0.000
0.000 0.000 5.479
Pb W Au
3 1 1
direct
0.000 0.000 0.500 Pb
0.000 0.500 0.000 Pb
0.500 0.000 0.000 Pb
0.500 0.500 0.500 W
0.000 0.000 0.000 Au
```

Results
Formation energy (kJ/mol of formula units): 678
DOS at the Fermi energy (states/eV per atom): 0.62
Uncorrected energy (eV/atom): -4.07



Record 3
Computed, not measured: Pb2WAu after structural relaxation at the PBE level of DFT.

Cell and atoms, written as POSCAR:
```
Pb2WAu
1.0
3.061 0.000 0.000
0.000 3.061 0.000
0.000 0.000 10.290
Pb W Au
2 1 1
direct
0.000 0.000 0.000 Pb
0.500 0.500 0.370 Pb
0.000 0.000 0.594 W
0.500 0.500 0.770 Au
```

Results
Formation energy (kJ/mol of formula units): 180
DOS at the Fermi energy (states/eV per atom): 0.30
Uncorrected energy (eV/atom): -5.45



Record 4
Computed, not measured: Pb2WAu after structural relaxation at the PBE level of DFT.

Cell and atoms, written as POSCAR:
```
Pb2WAu
1.0
7.936 0.000 0.000
0.000 7.936 0.000
0.000 0.000 6.177
Pb W Au
8 4 4
direct
0.250 0.250 0.125 Pb
0.250 0.250 0.625 Pb
0.250 0.750 0.375 Pb
0.250 0.750 0.875 Pb
0.750 0.250 0.375 Pb
0.750 0.250 0.875 Pb
0.750 0.750 0.125 Pb
0.750 0.750 0.625 Pb
0.000 0.000 0.000 W
0.000 0.500 0.250 W
0.500 0.000 0.750 W
0.500 0.500 0.500 W
0.000 0.000 0.500 Au
0.000 0.500 0.750 Au
0.500 0.000 0.250 Au
0.500 0.500 0.000 Au
```

Results
Formation energy (kJ/mol of formula units): 415
DOS at the Fermi energy (states/eV per atom): 1.15
Uncorrected energy (eV/atom): -4.84



Record 5
Computed, not measured: PbWAu after structural relaxation at the PBE level of DFT.

Cell and atoms, written as POSCAR:
```
PbWAu
1.0
3.093 0.000 0.000
-1.546 2.678 0.000
0.000 0.000 7.357
Pb W Au
1 1 1
direct
0.000 0.000 0.000 Pb
0.667 0.333 0.340 W
0.333 0.667 0.632 Au
```

Results
Formation energy (kJ/mol of formula units): 205
DOS at the Fermi energy (states/eV per atom): 0.56
Uncorrected energy (eV/atom): -5.94



Record 6
Computed, not measured: PbWAu after structural relaxation at the PBE level of DFT.

Cell and atoms, written as POSCAR:
```
PbWAu
1.0
6.548 0.000 0.000
0.000 6.548 0.000
0.000 0.000 6.548
Pb W Au
4 4 4
direct
0.000 0.000 0.000 Pb
0.000 0.500 0.500 Pb
0.500 0.000 0.500 Pb
0.500 0.500 0.000 Pb
0.250 0.250 0.250 W
0.250 0.750 0.750 W
0.750 0.250 0.750 W
0.750 0.750 0.250 W
0.000 0.000 0.500 Au
0.000 0.500 0.000 Au
0.500 0.000 0.000 Au
0.500 0.500 0.500 Au
```

Results
Formation energy (kJ/mol of formula units): 301
DOS at the Fermi energy (states/eV per atom): 1.47
Uncorrected energy (eV/atom): -5.61